(1)
DFT (PBE-GGA) results for KNiCl4 after structural relaxation.

Summary:
Symmetry: F-43m, No. 216
Crystal system: cubic
Electronic total energy in eV for the cell shown: -12.815
Formation energy from raw total energies in eV/atom: 0.242

Unit cell a=6.073 b=6.073 c=6.073 alpha=60.00 beta=60.00 gamma=60.00
Fractional positions:
K (0.000, 0.000, 0.000)
Ni (0.750, 0.750, 0.750)
Cl (0.375, 0.375, 0.375)
Cl (0.375, 0.375, 0.874)
Cl (0.375, 0.874, 0.375)
Cl (0.874, 0.375, 0.375)

=====

(2)
DFT (PBE-GGA) results for K2NiCl after structural relaxation.

Summary:
Symmetry: F-43m, No. 216
Crystal system: cubic
Electronic total energy in eV for the cell shown: -9.702
Formation energy from raw total energies in eV/atom: 0.030

Unit cell a=5.589 b=5.589 c=5.589 alpha=60.00 beta=60.00 gamma=60.00
Fractional positions:
K (0.000, 0.000, 0.000)
K (0.250, 0.250, 0.250)
Ni (0.500, 0.500, 0.500)
Cl (0.750, 0.750, 0.750)

=====

(3)
DFT (PBE-GGA) results for K2NiCl after structural relaxation.

Summary:
Symmetry: C2/m, No. 12
Crystal system: monoclinic
Electronic total energy in eV for the cell shown: -11.216
Formation energy from raw total energies in eV/atom: -0.348

Unit cell a=4.454 b=4.454 c=8.618 alpha=104.65 beta=104.65 gamma=59.38
Fractional positions:
K (0.241, 0.241, 0.227)
K (0.759, 0.759, 0.773)
Ni (0.000, 0.000, 0.500)
Cl (0.500, 0.500, 0.000)

=====

(4)
DFT (PBE-GGA) results for K3NiCl6 after structural relaxation.

Summary:
Symmetry: P4/mnc, No. 128
Crystal system: tetragonal
Electronic total energy in eV for the cell shown: -67.114
Formation energy from raw total energies in eV/atom: -1.340

Unit cell a=7.106 b=7.106 c=11.225 alpha=90.00 beta=90.00 gamma=90.00
Fractional positions:
K (0.000, 0.000, 0.000)
K (0.000, 0.500, 0.250)
K (0.000, 0.500, 0.750)
K (0.500, 0.000, 0.250)
K (0.500, 0.000, 0.750)
K (0.500, 0.500, 0.500)
Ni (0.000, 0.000, 0.500)
Ni (0.500, 0.500, 0.000)
Cl (0.000, 0.000, 0.271)
Cl (0.000, 0.000, 0.729)
Cl (0.114, 0.293, 0.500)
Cl (0.207, 0.386, 0.000)
Cl (0.293, 0.886, 0.500)
Cl (0.386, 0.793, 0.000)
Cl (0.500, 0.500, 0.229)
Cl (0.500, 0.500, 0.771)
Cl (0.614, 0.207, 0.000)
Cl (0.707, 0.114, 0.500)
Cl (0.793, 0.614, 0.000)
Cl (0.886, 0.707, 0.500)

=====

(5)
DFT (PBE-GGA) results for K4NiCl after structural relaxation.

Summary:
Symmetry: F-43m, No. 216
Crystal system: cubic
Electronic total energy in eV for the cell shown: -10.314
Formation energy from raw total energies in eV/atom: 0.284

Unit cell a=7.317 b=7.317 c=7.317 alpha=60.00 beta=60.00 gamma=60.00
Fractional positions:
K (0.125, 0.125, 0.125)
K (0.125, 0.125, 0.625)
K (0.125, 0.625, 0.125)
K (0.625, 0.125, 0.125)
Ni (0.750, 0.750, 0.750)
Cl (0.500, 0.500, 0.500)

=====

(6)
DFT (PBE-GGA) results for KNi2Cl8 after structural relaxation.

Summary:
Symmetry: C2/m, No. 12
Crystal system: monoclinic
Electronic total energy in eV for the cell shown: -34.203
Formation energy from raw total energies in eV/atom: -0.615

Unit cell a=9.854 b=9.854 c=3.889 alpha=90.62 beta=90.62 gamma=114.34
Fractional positions:
K (0.000, 0.000, 0.000)
Ni (0.200, 0.800, 0.500)
Ni (0.800, 0.200, 0.500)
Cl (0.042, 0.283, 0.505)
Cl (0.267, 0.733, 0.000)
Cl (0.283, 0.042, 0.505)
Cl (0.413, 0.413, 0.902)
Cl (0.587, 0.587, 0.098)
Cl (0.717, 0.958, 0.495)
Cl (0.733, 0.267, 0.000)
Cl (0.958, 0.717, 0.495)

=====

(7)
DFT (PBE-GGA) results for KNi4Cl after structural relaxation.

Summary:
Symmetry: F-43m, No. 216
Crystal system: cubic
Electronic total energy in eV for the cell shown: -22.672
Formation energy from raw total energies in eV/atom: 0.566

Unit cell a=5.140 b=5.140 c=5.140 alpha=60.00 beta=60.00 gamma=60.00
Fractional positions:
K (0.000, 0.000, 0.000)
Ni (0.124, 0.625, 0.625)
Ni (0.625, 0.124, 0.625)
Ni (0.625, 0.625, 0.124)
Ni (0.625, 0.625, 0.625)
Cl (0.250, 0.250, 0.250)

=====

(8)
DFT (PBE-GGA) results for K2NiCl after structural relaxation.

Summary:
Symmetry: P4/mmm, No. 123
Crystal system: tetragonal
Electronic total energy in eV for the cell shown: -11.077
Formation energy from raw total energies in eV/atom: -0.314

Unit cell a=4.652 b=4.652 c=6.644 alpha=90.00 beta=90.00 gamma=90.00
Fractional positions:
K (0.000, 0.000, 0.000)
K (0.500, 0.500, 0.500)
Ni (0.000, 0.000, 0.500)
Cl (0.500, 0.500, 0.000)

=====

(9)
DFT (PBE-GGA) results for K4NiCl5 after structural relaxation.

Summary:
Symmetry: I4, No. 79
Crystal system: tetragonal
Electronic total energy in eV for the cell shown: -34.168
Formation energy from raw total energies in eV/atom: -1.476

Unit cell a=7.454 b=7.454 c=7.454 alpha=100.45 beta=100.45 gamma=129.60
Fractional positions:
K (0.094, 0.705, 0.799)
K (0.295, 0.094, 0.389)
K (0.705, 0.906, 0.611)
K (0.906, 0.295, 0.201)
Ni (0.448, 0.448, 0.000)
Cl (0.073, 0.073, 0.000)
Cl (0.245, 0.422, 0.658)
Cl (0.422, 0.764, 0.177)
Cl (0.587, 0.245, 0.823)
Cl (0.764, 0.587, 0.342)

=====

(10)
DFT (PBE-GGA) results for K3NiCl6 after structural relaxation.

Summary:
Symmetry: R-3, No. 148
Crystal system: trigonal
Electronic total energy in eV for the cell shown: -66.927
Formation energy from raw total energies in eV/atom: -1.331

Unit cell a=8.503 b=8.503 c=8.503 alpha=90.57 beta=90.57 gamma=90.57
Fractional positions:
K (0.065, 0.573, 0.746)
K (0.254, 0.935, 0.427)
K (0.427, 0.254, 0.935)
K (0.573, 0.746, 0.065)
K (0.746, 0.065, 0.573)
K (0.935, 0.427, 0.254)
Ni (0.000, 0.000, 0.000)
Ni (0.500, 0.500, 0.500)
Cl (0.048, 0.940, 0.735)
Cl (0.060, 0.265, 0.952)
Cl (0.244, 0.560, 0.420)
Cl (0.265, 0.952, 0.060)
Cl (0.420, 0.244, 0.560)
Cl (0.440, 0.580, 0.756)
Cl (0.560, 0.420, 0.244)
Cl (0.580, 0.756, 0.440)
Cl (0.735, 0.048, 0.940)
Cl (0.756, 0.440, 0.580)
Cl (0.940, 0.735, 0.048)
Cl (0.952, 0.060, 0.265)

=====

(11)
DFT (PBE-GGA) results for KNiCl3 after structural relaxation.

Summary:
Symmetry: P2_1/c, No. 14
Crystal system: monoclinic
Electronic total energy in eV for the cell shown: -71.107
Formation energy from raw total energies in eV/atom: -1.072

Unit cell a=6.819 b=10.166 c=10.256 alpha=90.00 beta=119.53 gamma=90.00
Fractional positions:
K (0.151, 0.064, 0.262)
K (0.151, 0.436, 0.762)
K (0.849, 0.564, 0.238)
K (0.849, 0.936, 0.738)
Ni (0.460, 0.135, 0.998)
Ni (0.460, 0.365, 0.498)
Ni (0.540, 0.635, 0.502)
Ni (0.540, 0.865, 0.002)
Cl (0.116, 0.186, 0.960)
Cl (0.116, 0.314, 0.460)
Cl (0.371, 0.678, 0.988)
Cl (0.371, 0.822, 0.488)
Cl (0.386, 0.001, 0.803)
Cl (0.386, 0.499, 0.303)
Cl (0.614, 0.501, 0.697)
Cl (0.614, 0.999, 0.197)
Cl (0.629, 0.178, 0.512)
Cl (0.629, 0.322, 0.012)
Cl (0.884, 0.686, 0.540)
Cl (0.884, 0.814, 0.040)

=====

(12)
DFT (PBE-GGA) results for K3NiCl after structural relaxation.

Summary:
Symmetry: Pm-3m, No. 221
Crystal system: cubic
Electronic total energy in eV for the cell shown: -12.060
Formation energy from raw total energies in eV/atom: -0.228

Unit cell a=5.945 b=5.945 c=5.945 alpha=90.00 beta=90.00 gamma=90.00
Fractional positions:
K (0.000, 0.000, 0.500)
K (0.000, 0.500, 0.000)
K (0.500, 0.000, 0.000)
Ni (0.500, 0.500, 0.500)
Cl (0.000, 0.000, 0.000)

=====

(13)
DFT (PBE-GGA) results for KNiCl3 after structural relaxation.

Summary:
Symmetry: P2_1/c, No. 14
Crystal system: monoclinic
Electronic total energy in eV for the cell shown: -71.152
Formation energy from raw total energies in eV/atom: -1.074

Unit cell a=8.413 b=6.702 c=11.121 alpha=90.00 beta=119.69 gamma=90.00
Fractional positions:
K (0.141, 0.193, 0.164)
K (0.141, 0.307, 0.664)
K (0.859, 0.693, 0.336)
K (0.859, 0.807, 0.836)
Ni (0.405, 0.652, 0.363)
Ni (0.405, 0.848, 0.863)
Ni (0.595, 0.152, 0.137)
Ni (0.595, 0.348, 0.637)
Cl (0.121, 0.700, 0.197)
Cl (0.121, 0.800, 0.697)
Cl (0.319, 0.097, 0.956)
Cl (0.319, 0.403, 0.456)
Cl (0.496, 0.090, 0.700)
Cl (0.496, 0.410, 0.200)
Cl (0.504, 0.590, 0.800)
Cl (0.504, 0.910, 0.300)
Cl (0.681, 0.597, 0.544)
Cl (0.681, 0.903, 0.044)
Cl (0.879, 0.200, 0.303)
Cl (0.879, 0.300, 0.803)

=====

(14)
DFT (PBE-GGA) results for K2NiCl after structural relaxation.

Summary:
Symmetry: I-42d, No. 122
Crystal system: tetragonal
Electronic total energy in eV for the cell shown: -21.681
Formation energy from raw total energies in eV/atom: -0.254

Unit cell a=7.554 b=7.554 c=7.554 alpha=112.32 beta=112.32 gamma=103.90
Fractional positions:
K (0.094, 0.125, 0.469)
K (0.375, 0.906, 0.031)
K (0.656, 0.625, 0.531)
K (0.875, 0.344, 0.969)
Ni (0.250, 0.750, 0.500)
Ni (0.500, 0.500, 0.000)
Cl (0.000, 0.000, 0.000)
Cl (0.750, 0.250, 0.500)

=====

(15)
DFT (PBE-GGA) results for KNpNiCl6 after structural relaxation.

Summary:
Symmetry: P-31c, No. 163
Crystal system: trigonal
Electronic total energy in eV for the cell shown: -87.052
Formation energy from raw total energies in eV/atom: -1.403

Unit cell a=6.653 b=6.653 c=14.148 alpha=90.00 beta=90.00 gamma=120.00
Fractional positions:
K (0.000, 0.000, 0.000)
K (0.000, 0.000, 0.500)
Np (0.333, 0.667, 0.250)
Np (0.667, 0.333, 0.750)
Ni (0.333, 0.667, 0.750)
Ni (0.667, 0.333, 0.250)
Cl (0.023, 0.376, 0.646)
Cl (0.023, 0.648, 0.854)
Cl (0.352, 0.376, 0.854)
Cl (0.352, 0.977, 0.646)
Cl (0.376, 0.023, 0.146)
Cl (0.376, 0.352, 0.354)
Cl (0.624, 0.648, 0.646)
Cl (0.624, 0.977, 0.854)
Cl (0.648, 0.023, 0.354)
Cl (0.648, 0.624, 0.146)
Cl (0.977, 0.352, 0.146)
Cl (0.977, 0.624, 0.354)

=====

(16)
DFT (PBE-GGA) results for K2NiPbCl6 after structural relaxation.

Summary:
Symmetry: P1, No. 1
Crystal system: triclinic
Electronic total energy in eV for the cell shown: -35.316
Formation energy from raw total energies in eV/atom: -1.255

Unit cell a=7.391 b=7.399 c=7.399 alpha=90.03 beta=119.95 gamma=119.94
Fractional positions:
K (0.000, 0.000, 0.000)
K (0.000, 0.498, 0.502)
Ni (0.500, 0.246, 0.748)
Pb (0.500, 0.746, 0.248)
Cl (0.040, 0.016, 0.517)
Cl (0.499, 0.015, 0.977)
Cl (0.499, 0.475, 0.977)
Cl (0.500, 0.016, 0.519)
Cl (0.500, 0.476, 0.518)
Cl (0.960, 0.475, 0.978)

=====

(17)
DFT (PBE-GGA) results for KNi2PbCl8 after structural relaxation.

Summary:
Symmetry: R-3, No. 148
Crystal system: trigonal
Electronic total energy in eV for the cell shown: -41.373
Formation energy from raw total energies in eV/atom: -0.853

Unit cell a=10.084 b=10.084 c=10.084 alpha=38.09 beta=38.09 gamma=38.09
Fractional positions:
K (0.000, 0.000, 0.000)
Ni (0.251, 0.251, 0.251)
Ni (0.749, 0.749, 0.749)
Pb (0.500, 0.500, 0.500)
Cl (0.081, 0.797, 0.438)
Cl (0.203, 0.562, 0.919)
Cl (0.328, 0.328, 0.328)
Cl (0.438, 0.081, 0.797)
Cl (0.562, 0.919, 0.203)
Cl (0.672, 0.672, 0.672)
Cl (0.797, 0.438, 0.081)
Cl (0.919, 0.203, 0.562)

=====

(18)
DFT (PBE-GGA) results for KNiPbCl6 after structural relaxation.

Summary:
Symmetry: P-31c, No. 163
Crystal system: trigonal
Electronic total energy in eV for the cell shown: -61.166
Formation energy from raw total energies in eV/atom: -0.991

Unit cell a=7.026 b=7.026 c=12.785 alpha=90.00 beta=90.00 gamma=120.00
Fractional positions:
K (0.000, 0.000, 0.000)
K (0.000, 0.000, 0.500)
Ni (0.333, 0.667, 0.250)
Ni (0.667, 0.333, 0.750)
Pb (0.333, 0.667, 0.750)
Pb (0.667, 0.333, 0.250)
Cl (0.062, 0.402, 0.143)
Cl (0.062, 0.660, 0.357)
Cl (0.340, 0.402, 0.357)
Cl (0.340, 0.938, 0.143)
Cl (0.402, 0.062, 0.643)
Cl (0.402, 0.340, 0.857)
Cl (0.598, 0.660, 0.143)
Cl (0.598, 0.938, 0.357)
Cl (0.660, 0.062, 0.857)
Cl (0.660, 0.598, 0.643)
Cl (0.938, 0.340, 0.643)
Cl (0.938, 0.598, 0.857)

=====

(19)
DFT (PBE-GGA) results for KNiPdCl6 after structural relaxation.

Summary:
Symmetry: C2, No. 5
Crystal system: monoclinic
Electronic total energy in eV for the cell shown: -30.294
Formation energy from raw total energies in eV/atom: -0.794

Unit cell a=6.261 b=6.261 c=7.063 alpha=90.85 beta=90.85 gamma=118.06
Fractional positions:
K (0.000, 0.000, 0.000)
Ni (0.669, 0.331, 0.500)
Pd (0.332, 0.668, 0.500)
Cl (0.364, 0.003, 0.683)
Cl (0.365, 0.373, 0.311)
Cl (0.627, 0.635, 0.689)
Cl (0.638, 0.022, 0.294)
Cl (0.978, 0.362, 0.706)
Cl (0.997, 0.636, 0.317)

=====

(20)
DFT (PBE-GGA) results for KPmNiCl6 after structural relaxation.

Summary:
Symmetry: P-31c, No. 163
Crystal system: trigonal
Electronic total energy in eV for the cell shown: -74.792
Formation energy from raw total energies in eV/atom: -1.632

Unit cell a=6.736 b=6.736 c=13.817 alpha=90.00 beta=90.00 gamma=120.00
Fractional positions:
K (0.000, 0.000, 0.000)
K (0.000, 0.000, 0.500)
Pm (0.333, 0.667, 0.250)
Pm (0.667, 0.333, 0.750)
Ni (0.333, 0.667, 0.750)
Ni (0.667, 0.333, 0.250)
Cl (0.033, 0.385, 0.645)
Cl (0.033, 0.648, 0.855)
Cl (0.352, 0.385, 0.855)
Cl (0.352, 0.967, 0.645)
Cl (0.385, 0.033, 0.145)
Cl (0.385, 0.352, 0.355)
Cl (0.615, 0.648, 0.645)
Cl (0.615, 0.967, 0.855)
Cl (0.648, 0.033, 0.355)
Cl (0.648, 0.615, 0.145)
Cl (0.967, 0.352, 0.145)
Cl (0.967, 0.615, 0.355)